First-principles (GGA-PBE) data for a geometry-optimized CsCoCu2Br6 structure, as listed in Alexandria via LeMat-Bulk.

The structure belongs to space group C2/c (No. 15); the cell edges are 14.830, 13.457 and 7.561 Å and the angles 90.00°, 114.59° and 90.00°. The inequivalent atoms are Cs at (0.000, 0.121, 0.250), Co at (0.000, 0.261, 0.750), Cu at (0.209, 0.440, 0.207), Br at (0.049, 0.356, 0.035), Br at (0.131, 0.149, 0.783) and Br at (0.227, 0.417, 0.536).

---

First-principles (GGA-PBE) data for a geometry-optimized CsCo2CuBr8 structure, as listed in Alexandria via LeMat-Bulk.

The structure belongs to space group R-3 (No. 148, hexagonal axes); the cell edges are 6.6956, 6.6956 and 29.8535 Å and the angles 90.00°, 90.00° and 120.00°. The inequivalent atoms are Cs at (0.0000, 0.0000, 0.0000), Co at (0.0000, 0.0000, 0.2420), Cu at (0.0000, 0.0000, 0.5000), Br at (0.0000, 0.0000, 0.3201) and Br at (0.0069, 0.6832, 0.4483).

---

First-principles (GGA-PBE) data for a geometry-optimized CsErCoBr6 structure, as listed in Alexandria via LeMat-Bulk.

The structure belongs to space group C2 (No. 5); the cell edges are 7.035, 12.202 and 8.223 Å and the angles 90.00°, 90.34° and 90.00°. The inequivalent atoms are Cs at (0.000, 0.000, 0.000), Er at (0.000, 0.667, 0.500), Co at (0.000, 0.333, 0.500), Br at (0.120, 0.491, 0.692), Br at (0.174, 0.191, 0.688) and Br at (0.200, 0.818, 0.689).

---

| no. | E (eV for the cell shown) | uncorrected formation energy (eV per atom) | total magnetic moment (μB per formula unit) |
| --- | --- | --- | --- |
| 1 | -128.36 | -0.590 | 3.872 |
| 2 | -116.86 | -0.534 | 8.099 |
| 3 | -68.90 | -1.321 | 3.000 |